[1]
This record from the Alexandria database describes Tb2Pm5NdHo after structural relaxation. The functional is GGA-PBE.

```
Tb2Pm5NdHo
1.0
-1.6715 3.1534 -4.4452
-6.5296 -8.2518 0.2570
-6.6215 5.4372 6.3470
Tb Pm Nd Ho
4 10 2 2
Direct
0.8841 0.7681 0.8182
0.1132 0.2264 0.7342
0.1159 0.2319 0.3182
0.8868 0.7736 0.2342
0.3864 0.7727 0.0227
0.7198 0.4395 0.8135
0.4800 0.9600 0.7410
0.2972 0.5945 0.7070
0.9830 0.9660 0.5212
0.6136 0.2273 0.5227
0.2802 0.5605 0.3135
0.5200 0.0400 0.2410
0.7028 0.4055 0.2070
0.0170 0.0340 0.0212
0.5873 0.1747 0.9549
0.4127 0.8253 0.4549
0.8004 0.6009 0.5111
0.1996 0.3991 0.0111
```

Properties
N(E_F)	28.4	states/eV/cell
total DFT energy (no corrections)	-82.09	eV for the cell shown
calculated density	7.3	g/cm3
calculated formation energy	0.1462	eV per atom

=====

[2]
This record from the Alexandria database describes TbPmNd5Ho2 after structural relaxation. The functional is GGA-PBE.

```
TbPmNd5Ho2
1.0
5.6829 0.0000 0.0000
-2.8415 10.2254 0.0000
0.0000 0.0000 10.7411
Tb Pm Nd Ho
2 2 10 4
Direct
0.5895 0.1789 0.9569
0.4105 0.8211 0.4569
0.7992 0.5985 0.5096
0.2008 0.4015 0.0096
0.3906 0.7811 0.0250
0.7190 0.4380 0.8096
0.4796 0.9592 0.7424
0.2965 0.5931 0.7040
0.9836 0.9671 0.5216
0.6094 0.2189 0.5250
0.2810 0.5620 0.3096
0.5204 0.0408 0.2424
0.7035 0.4069 0.2040
0.0164 0.0329 0.0216
0.8836 0.7672 0.8172
0.1109 0.2219 0.7375
0.1164 0.2328 0.3172
0.8891 0.7781 0.2375
```

Properties
N(E_F)	28.3	states/eV/cell
total DFT energy (no corrections)	-82.15	eV for the cell shown
calculated density	7.2	g/cm3
calculated formation energy	0.1445	eV per atom

=====

[3]
This record from the Alexandria database describes TbPmNdHo after structural relaxation. The functional is GGA-PBE.

```
TbPmNdHo
1.0
5.7337 0.0000 0.0000
2.8669 4.9656 0.0000
2.8669 1.6552 4.6816
Nd Tb Ho Pm
1 1 1 1
Direct
0.2500 0.2500 0.2500
0.0000 0.0000 0.0000
0.5000 0.5000 0.5000
0.7500 0.7500 0.7500
```

Properties
N(E_F)	8.2	states/eV/cell
total DFT energy (no corrections)	-18.24	eV for the cell shown
calculated density	7.6	g/cm3
calculated formation energy	0.1220	eV per atom

=====

[4]
This record from the Alexandria database describes TbPmNd2Ho4 after structural relaxation. The functional is GGA-PBE.

```
TbPmNd2Ho4
1.0
-2.2101 -9.2690 -0.2760
8.4145 -2.1797 -3.9142
-2.3366 7.8840 8.5390
Tb Pm Nd Ho
2 2 4 8
Direct
0.5000 0.5000 0.5000
0.0000 0.0000 0.0000
0.0000 0.5000 0.0000
0.0000 0.5000 0.5000
0.5000 0.0000 0.0000
0.5000 0.0000 0.5000
0.0000 0.0000 0.5000
0.5000 0.5000 0.0000
0.2469 0.7525 0.9995
0.7475 0.2531 0.5005
0.2525 0.7469 0.4995
0.7531 0.2475 0.0005
0.7511 0.7508 0.9981
0.7492 0.7489 0.5019
0.2508 0.2511 0.4981
0.2489 0.2492 0.0019
```

Properties
N(E_F)	36.6	states/eV/cell
total DFT energy (no corrections)	-67.80	eV for the cell shown
calculated density	7.7	g/cm3
calculated formation energy	0.4162	eV per atom

=====

[5]
This record from the Alexandria database describes TbPmNdHo after structural relaxation. The functional is GGA-PBE.

```
TbPmNdHo
1.0
5.0647 0.0000 0.0000
0.0000 5.1085 0.0000
0.0000 0.0000 5.1106
Tb Pm Nd Ho
1 1 1 1
Direct
0.0000 0.0000 0.0000
0.5000 0.5000 0.0000
0.5000 0.0000 0.5000
0.0000 0.5000 0.5000
```

Properties
N(E_F)	6.4	states/eV/cell
total DFT energy (no corrections)	-18.65	eV for the cell shown
calculated density	7.7	g/cm3
calculated formation energy	0.0192	eV per atom

=====

[6]
This record from the Alexandria database describes Tb2Pm6NdHo after structural relaxation. The functional is GGA-PBE.

```
Tb2Pm6NdHo
1.0
1.0037 5.5978 -7.8483
-3.9226 -6.6419 -4.5083
-5.2919 5.8351 4.2158
Tb Pm Nd Ho
4 12 2 2
Direct
0.4539 0.7987 0.6992
0.0461 0.3008 0.2013
0.5461 0.2013 0.3008
0.9539 0.6992 0.7987
0.0552 0.1186 0.7557
0.4448 0.2443 0.8814
0.9448 0.8814 0.2443
0.5552 0.7557 0.1186
0.3141 0.9879 0.4350
0.1859 0.5650 0.0121
0.6859 0.0121 0.5650
0.8141 0.4350 0.9879
0.1187 0.7071 0.4898
0.3813 0.5102 0.2929
0.8813 0.2929 0.5102
0.6187 0.4898 0.7071
0.2500 0.9741 0.0259
0.7500 0.0259 0.9741
0.2500 0.4100 0.5900
0.7500 0.5900 0.4100
```

Properties
N(E_F)	28.2	states/eV/cell
total DFT energy (no corrections)	-91.92	eV for the cell shown
calculated density	7.3	g/cm3
calculated formation energy	0.1148	eV per atom

=====

[7]
This record from the Alexandria database describes TbPm2NdHo6 after structural relaxation. The functional is GGA-PBE.

```
TbPm2NdHo6
1.0
-1.1922 -9.6099 0.2371
8.1564 -0.2476 3.2330
-6.5872 1.6389 5.5644
Tb Pm Nd Ho
2 4 2 12
Direct
0.2500 0.4075 0.5925
0.7500 0.5925 0.4075
0.4569 0.8059 0.7033
0.0431 0.2967 0.1941
0.5431 0.1941 0.2967
0.9569 0.7033 0.8059
0.2500 0.9808 0.0192
0.7500 0.0192 0.9808
0.0574 0.1228 0.7415
0.4426 0.2585 0.8772
0.9426 0.8772 0.2585
0.5574 0.7415 0.1228
0.3149 0.9784 0.4280
0.1851 0.5720 0.0216
0.6851 0.0216 0.5720
0.8149 0.4280 0.9784
0.1194 0.7055 0.4924
0.3806 0.5076 0.2945
0.8806 0.2945 0.5076
0.6194 0.4924 0.7055
```

Properties
N(E_F)	28.9	states/eV/cell
total DFT energy (no corrections)	-90.36	eV for the cell shown
calculated density	8.1	g/cm3
calculated formation energy	0.1184	eV per atom

=====

[8]
This record from the Alexandria database describes TbPm2NdHo4 after structural relaxation. The functional is GGA-PBE.

```
TbPm2NdHo4
1.0
9.3710 -0.0196 -1.7130
-0.0262 9.3710 -1.7130
-5.9652 -5.9694 8.2923
Tb Pm Nd Ho
2 4 2 8
Direct
0.5000 0.5000 0.5000
0.0000 0.0000 0.0000
0.5000 0.0000 0.0000
0.5000 0.0000 0.5000
0.0000 0.0000 0.5000
0.5000 0.5000 0.0000
0.0000 0.5000 0.0000
0.0000 0.5000 0.5000
0.2482 0.7526 0.0006
0.7474 0.2518 0.4994
0.2526 0.7482 0.5006
0.7518 0.2474 0.9994
0.7494 0.7497 0.9975
0.7503 0.7506 0.5025
0.2497 0.2494 0.4975
0.2506 0.2503 0.0025
```

Properties
N(E_F)	35.7	states/eV/cell
total DFT energy (no corrections)	-67.72	eV for the cell shown
calculated density	7.8	g/cm3
calculated formation energy	0.4186	eV per atom

=====

[9]
This record from the Alexandria database describes Tb2Pm6Nd3Ho after structural relaxation. The functional is GGA-PBE.

```
Tb2Pm6Nd3Ho
1.0
-5.1299 0.7382 -3.5777
4.6482 -3.7979 -1.9055
-5.0108 -8.0857 7.3664
Tb Pm Nd Ho
2 6 3 1
Direct
0.3334 0.6666 0.0000
0.6666 0.3334 0.0000
0.9176 0.5846 0.7538
0.7493 0.7493 0.2463
0.0824 0.4154 0.2462
0.5846 0.9176 0.7538
0.2507 0.2507 0.7537
0.4154 0.0824 0.2462
0.1666 0.8334 0.5000
0.8334 0.1666 0.5000
0.5000 0.5000 0.5000
0.0000 0.0000 0.0000
```

Properties
N(E_F)	16.8	states/eV/cell
total DFT energy (no corrections)	-56.47	eV for the cell shown
calculated density	7.3	g/cm3
calculated formation energy	0.0146	eV per atom

=====

[10]
This record from the Alexandria database describes Tb2PmNd2Ho4 after structural relaxation. The functional is GGA-PBE.

```
Tb2PmNd2Ho4
1.0
-1.6821 -0.6462 3.1300
-6.8615 -2.2627 -6.2384
6.2599 -7.0138 1.9161
Tb Pm Nd Ho
2 1 2 4
Direct
0.8528 0.7056 0.3369
0.1472 0.2944 0.6631
0.0000 0.0000 0.0000
0.3336 0.6672 0.9991
0.6664 0.3328 0.0009
0.8142 0.6285 0.6629
0.1858 0.3715 0.3371
0.5195 0.0389 0.3361
0.4805 0.9611 0.6639
```

Properties
N(E_F)	12.1	states/eV/cell
total DFT energy (no corrections)	-41.89	eV for the cell shown
calculated density	8.0	g/cm3
calculated formation energy	-0.0032	eV per atom

=====

[11]
This record from the Alexandria database describes Tb2PmNd5Ho after structural relaxation. The functional is GGA-PBE.

```
Tb2PmNd5Ho
1.0
-5.4175 -0.0868 1.7181
3.0295 -10.1834 -0.3646
3.2366 0.5964 10.2359
Tb Pm Nd Ho
4 2 10 2
Direct
0.8838 0.7675 0.8161
0.1111 0.2223 0.7371
0.1162 0.2325 0.3161
0.8889 0.7777 0.2371
0.7994 0.5987 0.5094
0.2006 0.4013 0.0094
0.3900 0.7800 0.0245
0.7194 0.4388 0.8097
0.4804 0.9608 0.7431
0.2966 0.5933 0.7039
0.9839 0.9678 0.5208
0.6100 0.2200 0.5245
0.2806 0.5612 0.3097
0.5196 0.0392 0.2431
0.7034 0.4067 0.2039
0.0161 0.0322 0.0208
0.5906 0.1812 0.9594
0.4094 0.8188 0.4594
```

Properties
N(E_F)	28.1	states/eV/cell
total DFT energy (no corrections)	-82.31	eV for the cell shown
calculated density	7.2	g/cm3
calculated formation energy	0.1412	eV per atom

=====

[12]
This record from the Alexandria database describes Tb5PmNdHo2 after structural relaxation. The functional is GGA-PBE.

```
Tb5PmNdHo2
1.0
5.6329 0.0000 0.0000
-2.8164 9.9655 0.0000
0.0000 0.0000 10.6259
Tb Pm Nd Ho
10 2 2 4
Direct
0.3909 0.7819 0.0243
0.7183 0.4367 0.8100
0.4779 0.9557 0.7371
0.2983 0.5967 0.7080
0.9827 0.9654 0.5261
0.6091 0.2181 0.5243
0.2817 0.5633 0.3100
0.5221 0.0443 0.2371
0.7017 0.4033 0.2080
0.0173 0.0346 0.0261
0.7988 0.5975 0.5116
0.2013 0.4025 0.0116
0.5836 0.1671 0.9507
0.4164 0.8329 0.4507
0.8856 0.7711 0.8211
0.1104 0.2208 0.7350
0.1144 0.2289 0.3211
0.8896 0.7792 0.2350
```

Properties
N(E_F)	28.0	states/eV/cell
total DFT energy (no corrections)	-80.84	eV for the cell shown
calculated density	7.9	g/cm3
calculated formation energy	0.1559	eV per atom

=====

[13]
This record from the Alexandria database describes Tb2PmNdHo5 after structural relaxation. The functional is GGA-PBE.

```
Tb2PmNdHo5
1.0
-6.0214 -0.3301 -6.3553
-4.2223 -6.3388 4.3298
0.9938 8.5700 4.6519
Tb Pm Nd Ho
4 2 2 10
Direct
0.1162 0.3839 0.0000
0.6162 0.1162 0.0000
0.3839 0.8838 0.0000
0.8838 0.6162 0.0000
0.2500 0.2500 0.5000
0.7500 0.7500 0.5000
0.2500 0.7500 0.5000
0.7500 0.2500 0.5000
0.9295 0.4295 0.2686
0.6609 0.1609 0.7314
0.0705 0.5705 0.7314
0.1609 0.0705 0.7314
0.5705 0.6609 0.7314
0.8391 0.9295 0.2686
0.4295 0.3391 0.2686
0.3391 0.8391 0.2686
0.5000 0.5000 0.0000
0.0000 0.0000 0.0000
```

Properties
N(E_F)	20.7	states/eV/cell
total DFT energy (no corrections)	-78.40	eV for the cell shown
calculated density	8.2	g/cm3
calculated formation energy	0.2744	eV per atom

=====

[14]
This record from the Alexandria database describes Tb2PmNd3Ho6 after structural relaxation. The functional is GGA-PBE.

```
Tb2PmNd3Ho6
1.0
-1.3742 -5.4518 -2.6355
4.3901 3.6254 -2.4779
7.0219 -4.6030 8.2913
Tb Pm Nd Ho
2 1 3 6
Direct
0.3333 0.6667 0.0000
0.6667 0.3333 0.0000
0.0000 0.0000 0.0000
0.1668 0.8332 0.5000
0.8332 0.1668 0.5000
0.5000 0.5000 0.5000
0.9172 0.5835 0.7522
0.7492 0.7492 0.2478
0.0828 0.4165 0.2478
0.5835 0.9172 0.7522
0.2508 0.2508 0.7522
0.4165 0.0828 0.2478
```

Properties
N(E_F)	14.5	states/eV/cell
total DFT energy (no corrections)	-55.60	eV for the cell shown
calculated density	8.1	g/cm3
calculated formation energy	0.0153	eV per atom

=====

[15]
This record from the Alexandria database describes Tb6Pm3NdHo2 after structural relaxation. The functional is GGA-PBE.

```
Tb6Pm3NdHo2
1.0
-5.7430 2.2563 -0.7184
0.9766 -6.1306 -0.2264
-0.1376 0.5861 11.8692
Tb Pm Nd Ho
6 3 1 2
Direct
0.9169 0.5828 0.7518
0.7489 0.7489 0.2481
0.0831 0.4172 0.2482
0.5828 0.9169 0.7518
0.2511 0.2511 0.7519
0.4172 0.0831 0.2482
0.1669 0.8331 0.5000
0.8331 0.1669 0.5000
0.5000 0.5000 0.5000
0.0000 0.0000 0.0000
0.3332 0.6668 0.0000
0.6668 0.3332 0.0000
```

Properties
N(E_F)	15.2	states/eV/cell
total DFT energy (no corrections)	-55.78	eV for the cell shown
calculated density	7.9	g/cm3
calculated formation energy	0.0144	eV per atom

=====

[16]
This record from the Alexandria database describes Tb4Pm2Nd2Ho after structural relaxation. The functional is GGA-PBE.

```
Tb4Pm2Nd2Ho
1.0
3.6349 0.0000 0.0000
-1.8174 9.4184 -0.5173
0.0000 -3.7113 8.9294
Tb Pm Nd Ho
4 2 2 1
Direct
0.8152 0.6305 0.6654
0.1848 0.3695 0.3346
0.5189 0.0378 0.3313
0.4811 0.9622 0.6687
0.8527 0.7055 0.3365
0.1473 0.2945 0.6635
0.3349 0.6697 0.9995
0.6651 0.3303 0.0005
0.0000 0.0000 0.0000
```

Properties
N(E_F)	11.8	states/eV/cell
total DFT energy (no corrections)	-42.09	eV for the cell shown
calculated density	7.7	g/cm3
calculated formation energy	0.0047	eV per atom

=====

[17]
This record from the Alexandria database describes TbPmNdHo3 after structural relaxation. The functional is GGA-PBE.

```
TbPmNdHo3
1.0
-0.4293 4.9866 -0.7405
-4.3667 -1.9927 6.3976
8.0253 1.5773 5.9691
Tb Pm Nd Ho
2 2 2 6
Direct
0.8317 0.6633 0.7500
0.1683 0.3367 0.2500
0.5002 0.0005 0.7500
0.4998 0.9995 0.2500
0.0000 0.0000 0.5000
0.0000 0.0000 0.0000
0.6684 0.3368 0.5000
0.3316 0.6632 0.5000
0.3316 0.6632 0.0000
0.6684 0.3368 0.0000
0.1681 0.3361 0.7500
0.8319 0.6639 0.2500
```

Properties
N(E_F)	17.0	states/eV/cell
total DFT energy (no corrections)	-55.52	eV for the cell shown
calculated density	8.1	g/cm3
calculated formation energy	0.0206	eV per atom

=====

[18]
This record from the Alexandria database describes TbPm6Nd2Ho3 after structural relaxation. The functional is GGA-PBE.

```
TbPm6Nd2Ho3
1.0
6.2715 -0.0008 0.0041
-3.1349 5.4317 0.0041
-1.0522 -1.8218 11.7668
Tb Pm Nd Ho
1 6 2 3
Direct
0.0000 0.0000 0.0000
0.9155 0.5830 0.7467
0.7518 0.7518 0.2535
0.0845 0.4170 0.2533
0.5830 0.9155 0.7467
0.2482 0.2482 0.7465
0.4170 0.0845 0.2533
0.3333 0.6667 0.0000
0.6667 0.3333 0.0000
0.1665 0.8335 0.5000
0.8335 0.1665 0.5000
0.5000 0.5000 0.5000
```

Properties
N(E_F)	15.6	states/eV/cell
total DFT energy (no corrections)	-56.23	eV for the cell shown
calculated density	7.5	g/cm3
calculated formation energy	0.0146	eV per atom

=====

[19]
This record from the Alexandria database describes TbPm2Nd4Ho2 after structural relaxation. The functional is GGA-PBE.

```
TbPm2Nd4Ho2
1.0
5.1368 0.0000 0.0000
-2.5684 7.7061 0.0166
0.0000 -2.5909 7.6596
Tb Pm Nd Ho
1 2 4 2
Direct
0.0000 0.0000 0.0000
0.8884 0.7768 0.3305
0.1116 0.2232 0.6695
0.7780 0.5560 0.6696
0.2220 0.4440 0.3304
0.5548 0.1096 0.3306
0.4452 0.8904 0.6694
0.3330 0.6660 0.0002
0.6670 0.3340 0.9998
```

Properties
N(E_F)	14.2	states/eV/cell
total DFT energy (no corrections)	-42.19	eV for the cell shown
calculated density	7.4	g/cm3
calculated formation energy	0.0189	eV per atom